A.
Material: Ba2Ca2Sn
Method: DFT, PBE
State: relaxed

Geometry as POSCAR:
```
Ba2Ca2Sn
1.0
8.459 0.000 0.000
0.000 8.459 0.000
0.000 0.000 6.198
Ba Ca Sn
4 4 2
Cartesian
1.469 2.761 0.000
2.761 6.990 0.000
5.698 1.469 0.000
6.990 5.698 0.000
1.285 5.515 3.099
2.945 1.285 3.099
5.515 7.174 3.099
7.174 2.945 3.099
0.000 0.000 3.099
4.230 4.230 3.099
```

Calculated values
Density of states at the Fermi level = 4.14 states/eV per cell
M_tot = 0.0 μB per cell

B.
Material: Ba2Ca2Sn
Method: DFT, PBE
State: relaxed

Geometry as POSCAR:
```
Ba2Ca2Sn
1.0
-2.364 2.364 9.925
2.364 -2.364 9.925
2.364 2.364 -9.925
Ba Ca Sn
2 2 1
Cartesian
2.364 0.000 4.963
0.000 2.364 4.963
0.000 0.000 1.618
0.000 0.000 18.232
0.000 0.000 9.925
```

Calculated values
Density of states at the Fermi level = 6.58 states/eV per cell
M_tot = 0.0 μB per cell

Which structure is most stable? A, by 44.2 kJ/mol of atoms over the runner-up.

A.
Material: BaSr3Ca7
Method: DFT, PBE
State: relaxed

Geometry as POSCAR:
```
BaSr3Ca7
1.0
6.573 -5.653 0.000
6.573 5.653 0.000
-0.507 0.000 7.302
Ba Sr Ca
1 3 7
Cartesian
0.000 0.000 0.000
6.320 2.013 3.651
6.573 0.000 0.000
6.320 -2.013 3.651
-0.253 0.000 3.651
2.843 1.895 5.580
3.215 0.000 2.174
2.843 -1.895 5.580
9.796 1.895 1.722
9.424 0.000 5.128
9.796 -1.895 1.722
```

Calculated values
Density of states at the Fermi level = 17.17 states/eV per cell
M_tot = 0.0 μB per cell

B.
Material: BaSr3Ca7
Method: DFT, PBE
State: relaxed

Geometry as POSCAR:
```
BaSr3Ca7
1.0
1.986 -15.015 0.000
1.986 15.015 0.000
0.000 0.000 18.762
Ba Sr Ca
2 6 14
Cartesian
1.986 12.319 14.072
1.986 -12.319 4.691
1.986 12.345 1.415
1.986 12.345 7.966
1.986 8.056 14.072
1.986 -8.056 4.691
1.986 -12.345 10.797
1.986 -12.345 17.347
1.986 8.482 1.344
1.986 8.482 8.037
1.986 4.772 1.609
1.986 4.772 7.772
1.986 1.217 14.072
1.986 0.887 1.616
1.986 0.887 7.766
1.986 -0.887 10.997
1.986 -0.887 17.147
1.986 -1.217 4.691
1.986 -4.772 10.990
1.986 -4.772 17.153
1.986 -8.482 10.725
1.986 -8.482 17.419
```

Calculated values
Density of states at the Fermi level = 31.02 states/eV per cell
M_tot = 0.0 μB per cell

Which structure is most stable? B, by 0.7 kJ/mol of atoms over the runner-up.

A.
Material: Ba2Sr4Ca5
Method: DFT, PBE
State: relaxed

Geometry as POSCAR:
```
Ba2Sr4Ca5
1.0
6.565 -4.004 0.000
6.565 4.004 0.000
-0.656 0.000 10.808
Ba Sr Ca
2 4 5
Cartesian
1.597 0.000 1.557
10.876 0.000 9.251
4.023 0.000 5.907
4.176 0.000 9.873
8.298 0.000 0.935
8.450 0.000 4.900
-0.328 0.000 5.404
4.931 1.990 2.463
7.542 1.990 8.345
4.931 -1.990 2.463
7.542 -1.990 8.345
```

Calculated values
Density of states at the Fermi level = 16.49 states/eV per cell
M_tot = 0.0 μB per cell

B.
Material: Ba2Sr4Ca5
Method: DFT, PBE
State: relaxed

Geometry as POSCAR:
```
Ba2Sr4Ca5
1.0
0.000 6.342 13.316
3.840 0.000 13.316
3.840 6.342 0.000
Ba Sr Ca
2 4 5
Cartesian
3.840 6.342 2.445
3.840 6.342 24.187
3.840 4.222 9.968
3.840 4.222 16.663
3.840 8.462 9.968
3.840 8.462 16.663
1.920 3.171 0.000
1.920 3.171 6.658
1.920 3.171 13.316
3.840 6.342 13.316
5.760 9.513 19.974
```

Calculated values
Density of states at the Fermi level = 10.52 states/eV per cell
M_tot = 0.0 μB per cell

Which structure is most stable? A, by 9.9 kJ/mol of atoms over the runner-up.